Entry from the Alexandria database: Y2CrSi after structural relaxation (PBE).

Structure (POSCAR):
```
Y2CrSi
1.0
-2.293 5.900 0.453
-4.038 3.883 -2.980
-5.491 3.012 1.023
Y Si Cr
2 1 1
direct
0.220 0.220 0.220
0.027 0.027 0.027
0.802 0.802 0.802
0.451 0.451 0.451
```

Output
M_tot (μB per cell): 3.167
Formation energy without anion corrections (kJ/mol of formula units): -57
Final energy (eV per atom): -7.14
SG: R3m